{"formula": "CdWN3", "functional": "GGA-PBE", "state": "optimized geometry", "e_form_raw_ev_per_atom": 0.4650, "total_energy_ev_per_atom": -7.304, "cell": [[3.977, 0.000, 0.000], [0.000, 3.977, 0.000], [0.000, 0.000, 3.977]], "species": ["Cd", "W", "N", "N", "N"], "frac_coords": [[0.000, 0.000, 0.000], [0.500, 0.500, 0.500], [0.000, 0.500, 0.500], [0.500, 0.000, 0.500], [0.500, 0.500, 0.000]]}